Entry from Alexandria via LeMat-Bulk: a crystal of KUCrO6 relaxed with PBEsol (meta-GGA SCAN).

Summary:
Final energy   -21.310 eV/atom

```
36
Lattice="6.705 0.000 0.000 0.000 8.249 0.000 -2.031 0.000 10.192" Properties=species:S:1:pos:R:3 pbc="T T T"
K -0.498 1.811 3.384
K -1.513 2.314 8.480
K 6.188 5.935 1.712
K 5.173 6.438 6.808
U 2.909 0.163 1.815
U 1.894 3.962 6.911
U 2.780 4.287 3.281
U 1.765 8.086 8.377
Cr 0.634 5.299 9.659
Cr 1.650 7.074 4.563
Cr 3.025 1.175 5.629
Cr 4.040 2.949 0.533
O -0.948 5.190 9.657
O 0.067 7.183 4.561
O 1.164 0.534 1.406
O 0.149 3.591 6.502
O 0.035 0.212 7.892
O 1.050 3.912 2.796
O 1.183 5.866 8.019
O 2.198 6.508 2.923
O 2.299 0.507 4.049
O 1.283 3.617 9.145
O 2.085 5.430 5.182
O 3.100 6.943 0.085
O 1.574 1.305 10.107
O 2.590 2.819 5.011
O 3.391 4.632 1.047
O 2.376 7.742 6.143
O 2.477 1.741 7.269
O 3.492 2.383 2.173
O 3.624 4.337 7.397
O 4.640 8.036 2.301
O 4.526 4.658 3.691
O 3.511 7.715 8.787
O 4.608 1.065 5.631
O 5.623 3.059 0.535
```